Ag2Pd3Pb2 | PBE | optimized geometry

Density of states at the Fermi level ... 0.507 states/eV per atom
Polymorph energy (0 for the lowest one) ... 9.5 meV per atom
Space-group type ... No. 12
Total magnetization ... 0.00 μB/f.u.
E_tot ... -0.30943 Ry per atom

Cell lengths 4.712, 4.712, 7.533 Å; angles 108.12, 108.12, 59.98 degrees
Positions (direct):
Ag 0.139 0.139 0.419
Ag 0.861 0.861 0.581
Pd 0.000 0.000 0.000
Pd 0.276 0.276 0.825
Pd 0.724 0.724 0.175
Pb 0.410 0.410 0.231
Pb 0.590 0.590 0.769